Pm2S2Br | PBE | optimized geometry

It has space group Immm (No. 71), with a = 3.8364 Å, b = 4.1159 Å, c = 16.6017 Å, α = 90.00°, β = 90.00° and γ = 90.00°. The asymmetric unit holds Pm at (0.0000, 0.0000, 0.1527), S at (0.0000, 0.0000, 0.3233) and Br at (0.0000, 0.5000, 0.5000).

As for the magnetization: 0.000 μB/f.u. For the excess energy over the best structure of this formula in the dataset, the calculation gives 0 meV/atom. The value obtained for the calculated volume is 262.1 Å³/cell. The value obtained for the density of states at the Fermi level is 0.373 states/eV per atom. As for the uncorrected energy: -5.85 eV per atom.